Material: BeIn2N
Method: DFT, PBE
State: relaxed

POSCAR file:
```
BeIn2N
1.0
5.7983 0.0000 0.0000
0.0000 5.7983 0.0000
2.8991 2.8991 4.6199
Be N In
2 2 4
Direct
0.5000 0.5000 0.0000
0.2500 0.7500 0.5000
0.0000 0.0000 0.0000
0.7500 0.2500 0.5000
0.6706 0.1250 0.2500
0.0794 0.6250 0.2500
0.3750 0.3294 0.7500
0.8750 0.9206 0.7500
```

Output
space-group type: I-42d
energy relative to the elements, uncorrected: 0.581 eV/atom
distance to the lowest polymorph of the same formula: 0.0000 eV/atom
total magnetization: 0.0 μB/f.u.
N(E_F): 1.9 states/eV/f.u.